1.
## TbHfGaRu (PBE)

Data for a relaxed structure of TbHfGaRu.

Unit cell a=6.795 b=6.795 c=6.795 alpha=90.00 beta=90.00 gamma=90.00
Space group F-43m (No. 216)
One atom of each set of equivalent atoms:
1 Tb 0.000 0.000 0.000 x4
2 Hf 0.000 0.000 0.500 x4
3 Ga 0.250 0.250 0.250 x4
4 Ru 0.250 0.250 0.750 x4

Properties
Crystal system: cubic
ΔH_f (0 K), eV/atom: -0.39
Magnetization, μB per atom: 0.0000

---

2.
## HfTl2GaRu (PBE)

Data for a relaxed structure of HfTl2GaRu.

Unit cell a=5.862 b=5.862 c=4.739 alpha=90.00 beta=90.00 gamma=90.00
Space group P4/mmm (No. 123)
One atom of each set of equivalent atoms:
1 Hf 0.000 0.000 0.000 x1
2 Tl 0.000 0.500 0.000 x2
3 Ga 0.500 0.500 0.500 x1
4 Ru 0.000 0.000 0.500 x1

Properties
Crystal system: tetragonal
ΔH_f (0 K), eV/atom: 0.89
Magnetization, μB per atom: 0.0000

---

3.
## YHfGaRu (PBE)

Data for a relaxed structure of YHfGaRu.

Unit cell a=6.787 b=6.787 c=6.787 alpha=90.00 beta=90.00 gamma=90.00
Space group F-43m (No. 216)
One atom of each set of equivalent atoms:
1 Y 0.000 0.000 0.000 x4
2 Hf 0.000 0.000 0.500 x4
3 Ga 0.250 0.250 0.250 x4
4 Ru 0.250 0.250 0.750 x4

Properties
Crystal system: cubic
ΔH_f (0 K), eV/atom: -0.40
Magnetization, μB per atom: 0.0000

---

4.
## HfZr2Ga2Ru5 (PBE)

Data for a relaxed structure of HfZr2Ga2Ru5.

Unit cell a=9.875 b=9.875 c=3.396 alpha=90.00 beta=90.00 gamma=90.00
Space group P4/mbm (No. 127)
One atom of each set of equivalent atoms:
1 Hf 0.000 0.000 0.000 x2
2 Zr 0.172 0.328 0.000 x4
3 Ga 0.127 0.627 0.000 x4
4 Ru 0.000 0.500 0.500 x2
5 Ru 0.070 0.797 0.500 x8

Properties
Crystal system: tetragonal
ΔH_f (0 K), eV/atom: -0.44
Magnetization, μB per atom: 0.0000

---

5.
## Hf2Ga2S (PBE)

Data for a relaxed structure of Hf2Ga2S.

Unit cell a=6.791 b=6.791 c=4.149 alpha=90.00 beta=90.00 gamma=90.00
Space group P4/mbm (No. 127)
One atom of each set of equivalent atoms:
1 Hf 0.174 0.326 0.000 x4
2 Ga 0.132 0.632 0.500 x4
3 S 0.000 0.000 0.000 x2

Properties
Crystal system: tetragonal
Magnetization, μB per atom: 0.0000
Formation energy (no corrections), eV per atom: -0.695

---

6.
## Hf8GaS2 (PBE)

Data for a relaxed structure of Hf8GaS2.

Unit cell a=12.522 b=7.592 c=5.123 alpha=90.00 beta=92.95 gamma=90.00
Space group C2/m (No. 12)
One atom of each set of equivalent atoms:
1 Hf 0.084 0.200 0.229 x8
2 Hf 0.134 0.000 0.733 x4
3 Hf 0.200 0.500 0.745 x4
4 Ga 0.000 0.500 0.500 x2
5 S 0.168 0.500 0.232 x4

Properties
Crystal system: monoclinic
Magnetization, μB per atom: 0.0000
Formation energy (no corrections), eV per atom: -0.218

---

7.
## HfGa2S (PBE)

Data for a relaxed structure of HfGa2S.

Unit cell a=7.527 b=7.527 c=5.256 alpha=90.00 beta=90.00 gamma=90.00
Space group I-42d (No. 122)
One atom of each set of equivalent atoms:
1 Hf 0.000 0.000 0.000 x4
2 Ga 0.230 0.250 0.625 x8
3 S 0.000 0.000 0.500 x4

Properties
Crystal system: tetragonal
Magnetization, μB per atom: 0.0000
Formation energy (no corrections), eV per atom: -0.126

---

8.
## Hf4GaS (PBE)

Data for a relaxed structure of Hf4GaS.

Unit cell a=12.992 b=3.283 c=6.301 alpha=90.00 beta=115.01 gamma=90.00
Space group C2/m (No. 12)
One atom of each set of equivalent atoms:
1 Hf 0.149 0.000 0.311 x4
2 Hf 0.150 0.500 0.828 x4
3 Ga 0.000 0.000 0.500 x2
4 S 0.000 0.500 0.000 x2

Properties
Crystal system: monoclinic
Magnetization, μB per atom: 0.0000
Formation energy (no corrections), eV per atom: -0.486